Entry 1:
VASP calculation (PBE) on an optimized crystal structure of RbEu2P.

Computed properties:
The value obtained for the energy of formation is -0.57 eV per atom.

Lattice parameters (Å, degrees): 4.305 4.305 12.007 79.67 79.67 60.00
Element x y z (fractional)
Eu 0.123 0.123 0.631
Eu 0.877 0.877 0.369
P 0.500 0.500 0.500
Rb 0.000 0.000 0.000

=====

Entry 2:
VASP calculation (PBE) on an optimized crystal structure of EuReP2.

Computed properties:
The value obtained for the energy of formation is -0.61 eV per atom.

Lattice parameters (Å, degrees): 4.116 4.116 5.482 67.95 67.95 60.00
Element x y z (fractional)
P 0.713 0.713 0.862
Eu 0.500 0.500 0.500
P 0.287 0.287 0.138
Re 0.000 0.000 0.000

=====

Entry 3:
VASP calculation (PBE) on an optimized crystal structure of EuPRh2.

Computed properties:
The value obtained for the energy of formation is -0.70 eV per atom.

Lattice parameters (Å, degrees): 4.080 4.080 5.757 69.25 69.25 60.00
Element x y z (fractional)
P 0.000 0.000 0.000
Rh 0.705 0.705 0.885
Rh 0.295 0.295 0.115
Eu 0.500 0.500 0.500

=====

Entry 4:
VASP calculation (PBE) on an optimized crystal structure of Eu6P19Rh30.

Computed properties:
The value obtained for the energy of formation is -0.89 eV per atom.

Lattice parameters (Å, degrees): 3.852 15.704 15.704 120.00 90.00 90.00
Element x y z (fractional)
P 0.503 0.000 0.000
P 0.751 0.683 0.232
P 0.251 0.433 0.062
Rh 0.254 0.262 0.416
Eu 0.751 0.297 0.903
P 0.755 0.256 0.139
Eu 0.252 0.703 0.097
P 0.251 0.629 0.567
P 0.755 0.883 0.744
P 0.751 0.549 0.317
Rh 0.751 0.536 0.462
Rh 0.749 0.738 0.584
Rh 0.254 0.154 0.738
P 0.252 0.232 0.549
Rh 0.249 0.772 0.724
Rh 0.755 0.228 0.276
Eu 0.751 0.606 0.703
Rh 0.254 0.584 0.846
Rh 0.751 0.926 0.464
Rh 0.250 0.777 0.349
Eu 0.252 0.903 0.606
Rh 0.749 0.023 0.148
Rh 0.753 0.223 0.651
Rh 0.755 0.048 0.772
P 0.753 0.371 0.433
P 0.753 0.567 0.938
Eu 0.252 0.394 0.297
Rh 0.255 0.977 0.852
P 0.251 0.938 0.371
Rh 0.749 0.852 0.875
Rh 0.250 0.572 0.223
P 0.248 0.744 0.861
Rh 0.753 0.428 0.777
Rh 0.755 0.724 0.952
Rh 0.249 0.952 0.228
Rh 0.250 0.651 0.428
Rh 0.255 0.875 0.023
Rh 0.252 0.464 0.538
Rh 0.749 0.846 0.262
Rh 0.749 0.125 0.977
P 0.755 0.861 0.117
Rh 0.252 0.462 0.926
P 0.753 0.062 0.629
Rh 0.749 0.416 0.154
P 0.252 0.451 0.683
Rh 0.751 0.538 0.074
P 0.248 0.117 0.256
Rh 0.252 0.074 0.536
Rh 0.753 0.349 0.572
P 0.751 0.768 0.451
Eu 0.751 0.097 0.394
Rh 0.255 0.148 0.125
P 0.248 0.139 0.883
Rh 0.249 0.276 0.048
P 0.252 0.317 0.768

=====

Entry 5:
VASP calculation (PBE) on an optimized crystal structure of EuP2Rh.

Computed properties:
The value obtained for the energy of formation is -0.91 eV per atom.

Lattice parameters (Å, degrees): 3.936 3.936 5.875 70.43 70.43 60.00
Element x y z (fractional)
Rh 0.000 0.000 0.000
P 0.723 0.723 0.831
Eu 0.500 0.500 0.500
P 0.277 0.277 0.169

=====

Entry 6:
VASP calculation (PBE) on an optimized crystal structure of EuP12Ru4.

Computed properties:
The value obtained for the energy of formation is -0.63 eV per atom.

Lattice parameters (Å, degrees): 7.011 7.011 7.011 109.47 109.47 109.47
Element x y z (fractional)
P 0.143 0.359 0.502
Ru 0.000 0.000 0.500
P 0.502 0.143 0.359
P 0.857 0.359 0.215
Eu 0.000 0.000 0.000
P 0.215 0.857 0.359
P 0.143 0.641 0.785
P 0.785 0.143 0.641
Ru 0.500 0.000 0.000
P 0.359 0.215 0.857
P 0.857 0.641 0.498
Ru 0.000 0.500 0.000
Ru 0.500 0.500 0.500
P 0.359 0.502 0.143
P 0.641 0.785 0.143
P 0.498 0.857 0.641
P 0.641 0.498 0.857

=====

Entry 7:
VASP calculation (PBE) on an optimized crystal structure of EuPRu.

Computed properties:
The value obtained for the energy of formation is -0.73 eV per atom.

Lattice parameters (Å, degrees): 4.464 3.995 3.995 120.00 90.00 90.00
Element x y z (fractional)
P 0.167 0.000 0.000
Ru 0.167 0.333 0.667
Eu 0.667 0.667 0.333

=====

Entry 8:
VASP calculation (PBE) on an optimized crystal structure of EuP2Ru.

Computed properties:
The value obtained for the energy of formation is -0.81 eV per atom.

Lattice parameters (Å, degrees): 4.042 4.042 5.552 68.66 68.66 60.00
Element x y z (fractional)
P 0.714 0.714 0.858
Ru 0.000 0.000 0.000
Eu 0.500 0.500 0.500
P 0.286 0.286 0.142

=====

Entry 9:
VASP calculation (PBE) on an optimized crystal structure of EuSc2P.

Computed properties:
The value obtained for the energy of formation is -0.64 eV per atom.

Lattice parameters (Å, degrees): 3.677 3.677 9.347 78.66 78.66 60.00
Element x y z (fractional)
Sc 0.720 0.720 0.840
Eu 0.500 0.500 0.500
Sc 0.280 0.280 0.160
P 0.000 0.000 0.000

=====

Entry 10:
VASP calculation (PBE) on an optimized crystal structure of EuPSe3.

Computed properties:
Its uncorrected formation energy is -0.9272 eV/atom.

Lattice parameters (Å, degrees): 7.827 7.032 11.836 55.44 90.00 90.00
Element x y z (fractional)
P 0.605 0.374 0.064
Se 0.493 0.121 0.268
P 0.895 0.374 0.564
Eu 0.886 0.715 0.748
Se 0.693 0.602 0.558
Se 0.507 0.879 0.732
Se 0.007 0.121 0.768
Se 0.193 0.398 0.942
Eu 0.114 0.285 0.252
Se 0.698 0.223 0.954
Se 0.807 0.602 0.058
Se 0.198 0.777 0.546
Se 0.307 0.398 0.442
Se 0.302 0.777 0.046
P 0.395 0.626 0.936
P 0.105 0.626 0.436
Se 0.993 0.879 0.232
Eu 0.386 0.285 0.752
Eu 0.614 0.715 0.248
Se 0.802 0.223 0.454

=====

Entry 11:
VASP calculation (PBE) on an optimized crystal structure of EuSiP2.

Computed properties:
Its uncorrected formation energy is 0.0708 eV/atom.

Lattice parameters (Å, degrees): 3.475 3.475 8.769 78.57 78.57 60.00
Element x y z (fractional)
P 0.114 0.114 0.659
Eu 0.000 0.000 0.000
Si 0.500 0.500 0.500
P 0.886 0.886 0.341

=====

Entry 12:
VASP calculation (PBE) on an optimized crystal structure of Sm2EuP.

Computed properties:
The value obtained for the energy of formation is -0.70 eV per atom.

Lattice parameters (Å, degrees): 3.951 3.951 10.101 78.72 78.72 60.00
Element x y z (fractional)
Sm 0.722 0.722 0.834
Eu 0.500 0.500 0.500
Sm 0.278 0.278 0.166
P 0.000 0.000 0.000

=====

Entry 13:
VASP calculation (PBE) on an optimized crystal structure of SmEu2P.

Computed properties:
The value obtained for the energy of formation is -0.38 eV per atom.

Lattice parameters (Å, degrees): 3.917 3.917 10.875 79.62 79.62 60.00
Element x y z (fractional)
Sm 0.000 0.000 0.000
Eu 0.887 0.887 0.339
P 0.500 0.500 0.500
Eu 0.113 0.113 0.661

=====

Entry 14:
VASP calculation (PBE) on an optimized crystal structure of Sm3EuP.

Computed properties:
The value obtained for the energy of formation is -0.42 eV per atom.

Lattice parameters (Å, degrees): 5.576 5.576 5.576 90.00 90.00 90.00
Element x y z (fractional)
P 0.000 0.000 0.000
Eu 0.500 0.500 0.500
Sm 0.000 0.000 0.500
Sm 0.500 0.000 0.000
Sm 0.000 0.500 0.000

=====

Entry 15:
VASP calculation (PBE) on an optimized crystal structure of SmEuP.

Computed properties:
The value obtained for the energy of formation is -0.88 eV per atom.

Lattice parameters (Å, degrees): 6.813 4.073 4.073 120.00 90.00 90.00
Element x y z (fractional)
Eu 0.754 0.667 0.333
Sm 0.234 0.333 0.667
P 0.013 0.000 0.000

=====

Entry 16:
VASP calculation (PBE) on an optimized crystal structure of EuSnP2.

Computed properties:
The value obtained for the energy of formation is -0.48 eV per atom.

Lattice parameters (Å, degrees): 4.017 4.017 7.143 73.67 73.67 60.00
Element x y z (fractional)
Sn 0.000 0.000 0.000
Eu 0.500 0.500 0.500
P 0.742 0.742 0.775
P 0.258 0.258 0.225

=====

Entry 17:
VASP calculation (PBE) on an optimized crystal structure of Eu3SnP.

Computed properties:
The value obtained for the energy of formation is -0.72 eV per atom.

Lattice parameters (Å, degrees): 5.567 5.567 5.567 90.00 90.00 90.00
Element x y z (fractional)
Eu 0.000 0.000 0.500
Eu 0.000 0.500 0.000
Sn 0.500 0.500 0.500
P 0.000 0.000 0.000
Eu 0.500 0.000 0.000

=====

Entry 18:
VASP calculation (PBE) on an optimized crystal structure of SrEuP.

Computed properties:
Its energy above the lowest structure with this stoichiometry is 0.00 eV per formula unit. The value obtained for the energy of formation is -0.84 eV per atom.

Lattice parameters (Å, degrees): 4.343 4.343 7.286 90.00 90.00 120.00
Element x y z (fractional)
Eu 0.333 0.667 0.547
Sr 0.000 0.000 0.111
P 0.667 0.333 0.343

=====

Entry 19:
VASP calculation (PBE) on an optimized crystal structure of SrEuP2.

Computed properties:
The value obtained for the energy of formation is -0.87 eV per atom.

Lattice parameters (Å, degrees): 4.279 4.279 7.363 73.11 73.11 60.00
Element x y z (fractional)
P 0.741 0.741 0.776
P 0.259 0.259 0.224
Eu 0.000 0.000 0.000
Sr 0.500 0.500 0.500

=====

Entry 20:
VASP calculation (PBE) on an optimized crystal structure of SrEuP.

Computed properties:
Its energy above the lowest structure with this stoichiometry is 0.03 eV per formula unit. The value obtained for the energy of formation is -0.83 eV per atom.

Lattice parameters (Å, degrees): 5.081 5.081 5.081 60.00 60.00 60.00
Element x y z (fractional)
Sr 0.000 0.000 0.000
Eu 0.500 0.500 0.500
P 0.250 0.250 0.250

=====

How do the records compare in E? In the order shown, they have -7.306, -8.994, -8.295, -7.886, -8.020, -7.233, -9.047, -8.406, -7.724, -6.155, -6.559, -6.981, -8.052, -6.392, -7.685, -6.755, -8.769, -6.630, -6.566, -6.620 eV per atom.